VASP calculation (PBE-GGA) on a relaxed Pm4MgCd3 crystal.

```
Pm4MgCd3
1.0
3.865 0.000 0.000
0.000 5.400 0.000
0.000 0.000 10.821
Pm Mg Cd
4 1 3
direct
0.000 0.000 0.000 Pm
0.000 0.000 0.500 Pm
0.000 0.500 0.248 Pm
0.000 0.500 0.752 Pm
0.500 0.500 0.500 Mg
0.500 0.000 0.255 Cd
0.500 0.000 0.745 Cd
0.500 0.500 0.000 Cd
```

Output
Volume (Å³/cell): 225.8
Magnetic moment (Bohr magnetons per cell): 0.9
Energy of formation from the pure elements (meV/atom): -268
Final energy (eV per atom): -3.19
Theoretical density (kg/m³): 6923
Energy above the lowest structure with this stoichiometry (meV per atom): 0